Entry 1:
# La2PaN3

A geometry-optimized La2PaN3 structure (PBE, Alexandria).

a = 6.256 Å, b = 6.256 Å, c = 6.347 Å
α = 90.06°, β = 90.06°, γ = 65.05°
Fractional positions:
1 La 0.013 0.331 0.250
2 La 0.331 0.013 0.750
3 La 0.669 0.987 0.250
4 La 0.987 0.669 0.750
5 Pa 0.384 0.616 0.250
6 Pa 0.616 0.384 0.750
7 N 0.072 0.928 0.250
8 N 0.346 0.347 0.500
9 N 0.347 0.346 0.000
10 N 0.653 0.654 0.000
11 N 0.654 0.653 0.500
12 N 0.928 0.072 0.750

Computed properties:
Space group = No. 15

---

Entry 2:
# LaPa3N4

A geometry-optimized LaPa3N4 structure (PBE, Alexandria).

a = 3.529 Å, b = 3.529 Å, c = 23.570 Å
α = 90.00°, β = 90.00°, γ = 120.00°
Fractional positions:
1 La 0.333 0.667 0.250
2 La 0.667 0.333 0.750
3 Pa 0.000 0.000 0.000
4 Pa 0.000 0.000 0.500
5 Pa 0.333 0.667 0.621
6 Pa 0.333 0.667 0.879
7 Pa 0.667 0.333 0.121
8 Pa 0.667 0.333 0.379
9 N 0.000 0.000 0.176
10 N 0.000 0.000 0.324
11 N 0.000 0.000 0.676
12 N 0.000 0.000 0.824
13 N 0.333 0.667 0.061
14 N 0.333 0.667 0.439
15 N 0.667 0.333 0.561
16 N 0.667 0.333 0.939

Computed properties:
Space group = No. 194

---

Entry 3:
# LaPa2PdN5

A geometry-optimized LaPa2PdN5 structure (PBE, Alexandria).

a = 7.504 Å, b = 7.504 Å, c = 7.504 Å
α = 127.85°, β = 127.85°, γ = 76.87°
Fractional positions:
1 La 0.250 0.250 0.000
2 La 0.750 0.750 0.000
3 Pa 0.171 0.671 0.842
4 Pa 0.329 0.171 0.500
5 Pa 0.671 0.829 0.500
6 Pa 0.829 0.329 0.158
7 Pd 0.250 0.750 0.500
8 Pd 0.750 0.250 0.500
9 N 0.000 0.000 0.000
10 N 0.033 0.223 0.500
11 N 0.223 0.723 0.191
12 N 0.277 0.467 0.500
13 N 0.467 0.967 0.191
14 N 0.500 0.500 0.000
15 N 0.533 0.033 0.809
16 N 0.723 0.533 0.500
17 N 0.777 0.277 0.809
18 N 0.967 0.777 0.500

Computed properties:
Space group = No. 140

---

Entry 4:
# La4Pa3PdN8

A geometry-optimized La4Pa3PdN8 structure (PBE, Alexandria).

a = 7.235 Å, b = 7.235 Å, c = 7.235 Å
α = 59.36°, β = 59.36°, γ = 59.36°
Fractional positions:
1 La 0.000 0.000 0.000
2 La 0.000 0.500 0.500
3 La 0.500 0.000 0.500
4 La 0.500 0.500 0.000
5 Pa 0.000 0.000 0.500
6 Pa 0.000 0.500 0.000
7 Pa 0.500 0.000 0.000
8 Pd 0.500 0.500 0.500
9 N 0.204 0.757 0.757
10 N 0.236 0.236 0.236
11 N 0.243 0.243 0.796
12 N 0.243 0.796 0.243
13 N 0.757 0.204 0.757
14 N 0.757 0.757 0.204
15 N 0.764 0.764 0.764
16 N 0.796 0.243 0.243

Computed properties:
Space group = No. 166

---

Entry 5:
# La4PmPa3N8

A geometry-optimized La4PmPa3N8 structure (PBE, Alexandria).

a = 7.299 Å, b = 7.299 Å, c = 7.299 Å
α = 59.18°, β = 59.18°, γ = 59.18°
Fractional positions:
1 La 0.000 0.000 0.000
2 La 0.000 0.500 0.500
3 La 0.500 0.000 0.500
4 La 0.500 0.500 0.000
5 Pm 0.500 0.500 0.500
6 Pa 0.000 0.000 0.500
7 Pa 0.000 0.500 0.000
8 Pa 0.500 0.000 0.000
9 N 0.215 0.746 0.746
10 N 0.234 0.234 0.234
11 N 0.254 0.254 0.785
12 N 0.254 0.785 0.254
13 N 0.746 0.215 0.746
14 N 0.746 0.746 0.215
15 N 0.766 0.766 0.766
16 N 0.785 0.254 0.254

Computed properties:
Space group = No. 166

---

Entry 6:
# LaPm2PaN4

A geometry-optimized LaPm2PaN4 structure (PBE, Alexandria).

a = 6.215 Å, b = 3.615 Å, c = 6.293 Å
α = 90.00°, β = 109.23°, γ = 90.00°
Fractional positions:
1 La 0.000 0.000 0.000
2 Pm 0.500 0.000 0.500
3 Pm 0.500 0.500 0.000
4 Pa 0.000 0.500 0.500
5 N 0.228 0.000 0.722
6 N 0.236 0.500 0.276
7 N 0.764 0.500 0.724
8 N 0.772 0.000 0.278

Computed properties:
Space group = No. 10

---

Record-wise formation energy (no corrections) values, in eV per atom: -1.23; -1.57; -1.06; -1.27; -1.55; -1.51
Record-wise DOS at the Fermi energy values, in states/eV per cell: 7.59; 10.15; 15.26; 8.19; 9.30; 3.59